First-principles (PBE) data for crystalline ZrCdHg2 at its relaxed geometry, as listed in the Alexandria database.

Properties
Space group: No. 166
VASP energy, eV per atom: -2.507
Formation enthalpy at 0 K, eV/atom: 0.010

Lattice parameters (Å, degrees): 10.1511 10.1511 10.1511 18.38 18.38 18.38
With the nearest neighbours (Å) after each atom.
Fractional positions:
Hg 0.9990 0.9990 0.9990  3 Zr 3.10, 3 Cd 3.14, 6 Hg 3.24
Hg 0.5010 0.5010 0.5010  3 Zr 3.10, 3 Cd 3.14, 6 Hg 3.24
Zr 0.2500 0.2500 0.2500  6 Hg 3.10, 6 Zr 3.24
Cd 0.7500 0.7500 0.7500  6 Hg 3.14, 6 Cd 3.24